Record 1
VASP calculation (PBEsol) on MgSnSbBr2 after structural relaxation.

Computed properties:
formation energy without anion corrections = 0.195 eV per atom
space group = P4/mmm
D(E_F) = 3.14 states/eV/cell

Cell lengths 5.579, 5.579, 5.601 Å; angles 90.00, 90.00, 90.00 degrees
Element x y z (fractional)
Mg: 0.000 0.000 0.000
Sn: 0.000 0.000 0.500
Sb: 0.500 0.500 0.000
Br: 0.000 0.500 0.500
Br: 0.500 0.000 0.500

=====

Record 2
VASP calculation (PBEsol) on MgScBr after structural relaxation.

Computed properties:
formation energy without anion corrections = 0.150 eV per atom
space group = F-43m
D(E_F) = 3.76 states/eV/cell

Cell lengths 4.900, 4.900, 4.900 Å; angles 60.00, 60.00, 60.00 degrees
Element x y z (fractional)
Mg: 0.000 0.000 0.000
Sc: 0.750 0.750 0.750
Br: 0.500 0.500 0.500